Record 1
Below is RbAg2PtBr8 after structural relaxation, with properties calculated at the PBE level. Values from VASP.

Quantum ESPRESSO input file:
```
&SYSTEM
  ibrav = 0, nat = 12, ntyp = 4
/
ATOMIC_SPECIES
Rb 85.47 Rb.upf
Ag 107.87 Ag.upf
Pt 195.08 Pt.upf
Br 79.90 Br.upf
CELL_PARAMETERS angstrom
6.0748 0.0000 0.0000
0.0216 6.7111 0.0000
2.9465 0.4525 9.2104
ATOMIC_POSITIONS crystal
Rb 0.0000 0.0000 0.0000
Ag 0.1815 0.5314 0.3042
Ag 0.8185 0.4686 0.6958
Pt 0.5000 0.0000 0.5000
Br 0.1661 0.8018 0.6672
Br 0.2417 0.5019 0.0189
Br 0.2616 0.3155 0.5275
Br 0.4053 0.9003 0.2770
Br 0.5947 0.0997 0.7230
Br 0.7384 0.6845 0.4725
Br 0.7583 0.4981 0.9811
Br 0.8339 0.1982 0.3328
```

Results
SG: P-1, No. 2
Energy in eV/atom: -2.643
Uncorrected formation energy in eV/atom: -0.47



Record 2
Below is TbAlNi2H after structural relaxation, with properties calculated at the PBE level. Values from VASP.

Quantum ESPRESSO input file:
```
&SYSTEM
  ibrav = 0, nat = 10, ntyp = 4
/
ATOMIC_SPECIES
Tb 158.93 Tb.upf
Al 26.98 Al.upf
Ni 58.69 Ni.upf
H 1.01 H.upf
CELL_PARAMETERS angstrom
1.8536 -5.2244 0.0000
1.8536 5.2244 0.0000
0.0000 0.0000 6.9544
ATOMIC_POSITIONS crystal
Tb 0.0599 0.9401 0.7500
Tb 0.9401 0.0599 0.2500
Al 0.2213 0.7787 0.2500
Al 0.7787 0.2213 0.7500
Ni 0.3427 0.6573 0.5556
Ni 0.3427 0.6573 0.9444
Ni 0.6573 0.3427 0.0556
Ni 0.6573 0.3427 0.4444
H 0.5000 0.5000 0.0000
H 0.5000 0.5000 0.5000
```

Results
SG: Cmcm, No. 63
Energy in eV/atom: -5.193



Record 3
Below is CrS after structural relaxation, with properties calculated at the PBE level. Values from VASP.

Quantum ESPRESSO input file:
```
&SYSTEM
  ibrav = 0, nat = 12, ntyp = 2
/
ATOMIC_SPECIES
Cr 52.00 Cr.upf
S 32.06 S.upf
CELL_PARAMETERS angstrom
3.0144 0.0000 0.0000
0.0000 11.0712 0.0000
0.0000 0.0000 5.2116
ATOMIC_POSITIONS crystal
Cr 0.0000 0.0000 0.0000
Cr 0.0000 0.5000 0.5000
Cr 0.5000 0.1898 0.8910
Cr 0.5000 0.3102 0.3910
Cr 0.5000 0.6898 0.3910
Cr 0.5000 0.8102 0.8910
S 0.0000 0.1719 0.2180
S 0.0000 0.3281 0.7180
S 0.0000 0.6719 0.7180
S 0.0000 0.8281 0.2180
S 0.5000 0.0000 0.6902
S 0.5000 0.5000 0.1902
```

Results
SG: Amm2, No. 38
Energy in eV/atom: -7.294
Uncorrected formation energy in eV/atom: -0.42



Number 1: N(E_F) 5.0 states/eV/cell. Number 2: N(E_F) 3.9 states/eV/cell. Number 3: N(E_F) 6.3 states/eV/cell.